Here is Ac6In2RhO after structural relaxation from Alexandria via LeMat-Bulk. Energies are from PBE.

a b c (Å): 7.9028 7.9022 11.1860
angles (deg): 90.00 90.00 90.00
Element x y z (fractional)
Ac (0.5000, 0.2499, 0.2580)
Ac (0.5000, 0.2499, 0.7420)
Ac (0.0000, 0.7501, 0.2420)
Ac (0.0000, 0.7501, 0.7580)
Ac (0.2584, 0.0080, 0.5000)
Ac (0.7416, 0.0080, 0.5000)
Ac (0.2582, 0.4913, 0.5000)
Ac (0.7418, 0.4913, 0.5000)
Ac (0.7582, 0.5087, 0.0000)
Ac (0.2418, 0.5087, 0.0000)
Ac (0.2416, 0.9920, 0.0000)
Ac (0.7584, 0.9920, 0.0000)
In (0.5000, 0.7502, 0.2501)
In (0.0000, 0.2498, 0.7501)
In (0.5000, 0.7502, 0.7499)
In (0.0000, 0.2498, 0.2499)
Rh (0.0000, 0.7497, 0.5000)
Rh (0.5000, 0.2503, 0.0000)
O (0.5000, 0.2496, 0.5000)
O (0.0000, 0.7504, 0.0000)

Summary:
formation energy from raw total energies = -743 meV per atom
D(E_F) = 19.3 states/eV per cell
space-group type = Pmmn, No. 59